Density functional theory data (PBE-GGA) for Er3TlGa2 after structural relaxation.

Cell lengths 3.580, 3.580, 11.121 Å; angles 90.00, 90.00, 90.00 degrees
Positions (direct):
1 Er 0.000 0.000 0.000
2 Er 0.000 0.000 0.685
3 Er 0.000 0.000 0.315
4 Tl 0.500 0.500 0.500
5 Ga 0.500 0.500 0.842
6 Ga 0.500 0.500 0.158

Calculated values
Crystal system: tetragonal
DOS at the Fermi energy in states/eV per cell: 2.689
E_tot in eV per atom: -4.171
Volume in Å³/atom: 23.8
DFT formation energy in eV/atom: -0.49
Size of the total moment in μB per cell: 0.00